Density functional theory data (meta-GGA SCAN) for a crystal of CeZr9O20 relaxed with PBEsol.

Results
The magnetic moment is 0.00 Bohr magnetons per cell. The total energy is -18.60 eV/atom.

Lattice parameters (Å, degrees): 6.328 7.284 8.076 77.17 75.20 72.42
Fractional positions:
1 Zr 0.997 0.000 0.002
2 Zr 0.602 0.895 0.801
3 Zr 0.803 0.197 0.399
4 Zr 0.399 0.604 0.199
5 Zr 0.403 0.099 0.196
6 Zr 0.000 0.502 0.003
7 Zr 0.601 0.398 0.803
8 Zr 0.199 0.801 0.596
9 Zr 0.795 0.702 0.400
10 O 0.723 0.981 0.261
11 O 0.379 0.918 0.042
12 O 0.614 0.586 0.959
13 O 0.875 0.919 0.543
14 O 0.961 0.321 0.851
15 O 0.321 0.379 0.058
16 O 0.431 0.776 0.360
17 O 0.483 0.318 0.335
18 O 0.538 0.178 0.664
19 O 0.176 0.106 0.435
20 O 0.919 0.780 0.860
21 O 0.081 0.718 0.135
22 O 0.676 0.117 0.946
23 O 0.781 0.519 0.239
24 O 0.022 0.180 0.159
25 O 0.278 0.523 0.744
26 O 0.122 0.598 0.450
27 O 0.222 0.976 0.763
28 O 0.579 0.719 0.640
29 O 0.818 0.387 0.556
30 Ce 0.201 0.301 0.600

Density functional theory data (meta-GGA SCAN) for a crystal of Be2CdIr relaxed with PBEsol.

Results
The magnetic moment is 0.00 Bohr magnetons per cell. The value obtained for the formation enthalpy at 0 K is -187 meV per atom. The total energy is -27.74 eV/atom.

Lattice parameters (Å, degrees): 2.935 3.911 4.988 113.08 107.11 90.00
Fractional positions:
1 Be 0.979 0.979 0.957
2 Be 0.741 0.241 0.481
3 Ir 0.275 0.775 0.550
4 Cd 0.506 0.506 0.012

Density functional theory data (meta-GGA SCAN) for a crystal of Ca2CoRu relaxed with PBEsol.

Results
The magnetic moment is 2.09 Bohr magnetons per cell. The value obtained for the formation enthalpy at 0 K is 569 meV per atom. The total energy is -17.30 eV/atom.

Lattice parameters (Å, degrees): 3.535 3.535 6.055 90.00 90.00 90.00
Fractional positions:
1 Ca 0.000 0.000 0.749
2 Ca 0.000 0.000 0.251
3 Co 0.500 0.500 0.000
4 Ru 0.500 0.500 0.500

Density functional theory data (meta-GGA SCAN) for a crystal of KLi2Ir relaxed with PBEsol.

Results
The magnetic moment is 0.24 Bohr magnetons per cell. The value obtained for the formation enthalpy at 0 K is 614 meV per atom. The total energy is -20.44 eV/atom. Its energy above the most stable polymorph in this dataset is 283.4 meV per atom.

Lattice parameters (Å, degrees): 5.056 5.056 8.774 106.74 106.74 90.00
Fractional positions:
1 K 0.750 0.250 0.500
2 K 0.500 0.500 0.000
3 Ir 0.000 0.000 0.000
4 Ir 0.250 0.750 0.500
5 Li 0.625 0.875 0.750
6 Li 0.125 0.875 0.250
7 Li 0.125 0.375 0.250
8 Li 0.125 0.875 0.750

Density functional theory data (meta-GGA SCAN) for a crystal of BaScSi3 relaxed with PBEsol.

Results
The magnetic moment is 0.00 Bohr magnetons per cell. The total energy is -15.06 eV/atom.

Lattice parameters (Å, degrees): 5.283 5.283 5.283 90.00 90.00 90.00
Fractional positions:
1 Si 0.000 0.500 0.000
2 Si 0.500 0.000 0.000
3 Si 0.000 0.000 0.500
4 Ba 0.000 0.000 0.000
5 Sc 0.500 0.500 0.500

Density functional theory data (meta-GGA SCAN) for a crystal of KCaMo4 relaxed with PBEsol.

Results
The magnetic moment is 0.00 Bohr magnetons per cell. The value obtained for the formation enthalpy at 0 K is 1114 meV per atom. The total energy is -25.14 eV/atom.

Lattice parameters (Å, degrees): 5.510 5.510 5.510 60.00 60.00 60.00
Fractional positions:
1 Mo 0.374 0.374 0.878
2 Mo 0.374 0.374 0.374
3 Mo 0.374 0.878 0.374
4 Mo 0.878 0.374 0.374
5 Ca 0.750 0.750 0.750
6 K 0.000 0.000 0.000

Density functional theory data (meta-GGA SCAN) for a crystal of Nb3ZnH relaxed with PBEsol.

Results
The magnetic moment is 0.00 Bohr magnetons per cell. The total energy is -23.40 eV/atom.

Lattice parameters (Å, degrees): 4.106 4.106 4.106 90.00 90.00 90.00
Fractional positions:
1 Nb 0.000 0.000 0.500
2 Nb 0.500 0.000 0.000
3 Nb 0.000 0.500 0.000
4 H 0.000 0.000 0.000
5 Zn 0.500 0.500 0.500

Density functional theory data (meta-GGA SCAN) for a crystal of AsPb2Au relaxed with PBEsol.

Results
The magnetic moment is 0.00 Bohr magnetons per cell. The value obtained for the formation enthalpy at 0 K is -16 meV per atom. The total energy is -60.24 eV/atom.

Lattice parameters (Å, degrees): 4.035 4.035 7.538 74.48 74.48 60.00
Fractional positions:
1 Pb 0.983 0.983 0.051
2 Pb 0.764 0.764 0.709
3 Au 0.239 0.239 0.283
4 As 0.514 0.514 0.457

Density functional theory data (meta-GGA SCAN) for a crystal of Rb2LiPrF6 relaxed with PBEsol.

Results
The magnetic moment is 0.01 Bohr magnetons per cell. The total energy is -14.31 eV/atom.

Lattice parameters (Å, degrees): 6.149 6.149 6.149 60.00 60.00 60.00
Fractional positions:
1 F 0.739 0.261 0.739
2 F 0.261 0.739 0.739
3 F 0.261 0.261 0.739
4 F 0.739 0.739 0.261
5 F 0.261 0.739 0.261
6 F 0.739 0.261 0.261
7 Pr 0.000 0.000 0.000
8 Rb 0.750 0.750 0.750
9 Rb 0.250 0.250 0.250
10 Li 0.500 0.500 0.500

Density functional theory data (meta-GGA SCAN) for a crystal of CaAlZnAs2 relaxed with PBEsol.

Results
The magnetic moment is 0.00 Bohr magnetons per cell. The value obtained for the formation enthalpy at 0 K is 38 meV per atom. The total energy is -14.22 eV/atom.

Lattice parameters (Å, degrees): 4.625 4.984 4.984 90.00 90.00 90.00
Fractional positions:
1 Al 0.500 0.000 0.000
2 As 0.000 0.000 0.500
3 As 0.000 0.500 0.000
4 Ca 0.500 0.500 0.500
5 Zn 0.000 0.000 0.000

Density functional theory data (meta-GGA SCAN) for a crystal of CaBe2Re relaxed with PBEsol.

Results
The magnetic moment is 0.00 Bohr magnetons per cell. The value obtained for the formation enthalpy at 0 K is 465 meV per atom. The total energy is -21.90 eV/atom.

Lattice parameters (Å, degrees): 2.774 2.774 7.205 90.00 90.00 90.00
Fractional positions:
1 Re 0.500 0.500 0.822
2 Be 0.000 0.000 0.030
3 Be 0.500 0.500 0.169
4 Ca 0.000 0.000 0.480

Density functional theory data (meta-GGA SCAN) for a crystal of Mn2MoPt relaxed with PBEsol.

Results
The magnetic moment is 5.71 Bohr magnetons per cell. The value obtained for the formation enthalpy at 0 K is -342 meV per atom. The total energy is -35.74 eV/atom.

Lattice parameters (Å, degrees): 2.940 3.235 5.729 90.00 90.00 90.00
Fractional positions:
1 Mo 0.500 0.500 0.000
2 Mn 0.000 0.000 0.241
3 Mn 0.000 0.000 0.759
4 Pt 0.500 0.500 0.500